(1)
Computed, not measured: a crystal of YFeHg relaxed with PBEsol at the SCAN level of DFT.

Unit cell a=4.4964 b=4.4964 c=3.5195 alpha=90.00 beta=90.00 gamma=120.00
Closest atoms and distances in Å follow each position.
Sites, in units of the cell vectors:
Y1 0.0000 0.0000 0.0000  6 Fe 3.14, 6 Hg 3.14
Fe1 0.3333 0.6667 0.5000  3 Hg 2.60
Hg1 0.6667 0.3333 0.5000  3 Fe 2.60

Summary:
* space-group type: P-6m2
* density of states at the Fermi level: 3.34 states/eV/cell

***

(2)
Computed, not measured: a crystal of YFe2Hg relaxed with PBEsol at the SCAN level of DFT.

Unit cell a=3.1456 b=3.1456 c=6.9648 alpha=90.00 beta=90.00 gamma=90.00
Closest atoms and distances in Å follow each position.
Sites, in units of the cell vectors:
Y1 0.0000 0.0000 0.0000  5 Fe 2.93-2.94, 4 Y 3.15, 4 Hg 3.19
Fe1 0.0000 0.0000 0.4217  4 Fe 2.45
Fe2 0.5000 0.5000 0.2738  4 Fe 2.45
Hg1 0.5000 0.5000 0.6712  5 Fe 2.77-2.82

Summary:
* space-group type: P4mm
* density of states at the Fermi level: 2.50 states/eV/cell

***

(3)
Computed, not measured: a crystal of Y4FeHg relaxed with PBEsol at the SCAN level of DFT.

Unit cell a=6.0248 b=6.0248 c=6.0248 alpha=60.00 beta=60.00 gamma=60.00
Closest atoms and distances in Å follow each position.
Sites, in units of the cell vectors:
Y1 0.1252 0.1252 0.1252  6 Y 3.01-3.02
Y2 0.1252 0.1252 0.6245  6 Y 3.01-3.02
Y3 0.1252 0.6245 0.1252  6 Y 3.01-3.02
Y4 0.6245 0.1252 0.1252  6 Y 3.01-3.02
Fe1 0.5000 0.5000 0.5000  12 Y 3.53, 4 Hg 3.69
Hg1 0.7500 0.7500 0.7500  12 Y 3.53, 4 Fe 3.69

Summary:
* space-group type: F-43m
* density of states at the Fermi level: 7.08 states/eV/cell

***

(4)
Computed, not measured: a crystal of YFeHg3 relaxed with PBEsol at the SCAN level of DFT.

Unit cell a=4.8870 b=4.8870 c=4.8870 alpha=90.00 beta=90.00 gamma=90.00
Closest atoms and distances in Å follow each position.
Sites, in units of the cell vectors:
Y1 0.0000 0.0000 0.0000  12 Hg 3.46
Fe1 0.5000 0.5000 0.5000  6 Hg 2.44
Hg1 0.0000 0.5000 0.5000  2 Fe 2.44
Hg2 0.5000 0.0000 0.5000  2 Fe 2.44
Hg3 0.5000 0.5000 0.0000  2 Fe 2.44

Summary:
* space-group type: Pm-3m
* density of states at the Fermi level: 2.55 states/eV/cell

***

(5)
Computed, not measured: a crystal of YFe2Hg relaxed with PBEsol at the SCAN level of DFT.

Unit cell a=3.3493 b=4.4099 c=5.1674 alpha=90.00 beta=90.68 gamma=90.00
Closest atoms and distances in Å follow each position.
Sites, in units of the cell vectors:
Y1 0.0000 0.0000 0.0000  8 Fe 2.91-3.05, 4 Hg 3.06-3.10
Fe1 0.4603 0.5000 0.7873  1 Fe 2.21
Fe2 0.5397 0.5000 0.2127  1 Fe 2.21
Hg1 0.5000 0.0000 0.5000  4 Fe 2.66

Summary:
* space-group type: P2/m
* density of states at the Fermi level: 3.60 states/eV/cell

***

(6)
Computed, not measured: a crystal of Zn2FeHg relaxed with PBEsol at the SCAN level of DFT.

Unit cell a=2.8266 b=3.5636 c=5.8633 alpha=90.00 beta=90.00 gamma=90.00
Closest atoms and distances in Å follow each position.
Sites, in units of the cell vectors:
Zn1 0.0000 0.0000 0.0000  1 Fe 2.56, 6 Zn 2.66-2.83, 4 Hg 2.83
Zn2 0.5000 0.5000 0.2369  4 Fe 2.56, 6 Zn 2.66-2.83, 1 Hg 2.79
Fe1 0.0000 0.0000 0.4363  5 Zn 2.56, 4 Hg 2.79, 2 Fe 2.83
Hg1 0.5000 0.5000 0.7120  6 Zn 2.79-3.08, 4 Fe 2.79, 2 Hg 2.83

Summary:
* space-group type: Pmm2
* density of states at the Fermi level: 2.02 states/eV/cell

***

Number 1: formation enthalpy at 0 K -0.148 eV/atom, final energy -38.1941 eV/atom. Number 2: formation enthalpy at 0 K -0.021 eV/atom, final energy -33.0884 eV/atom. Number 3: formation enthalpy at 0 K 0.601 eV/atom, final energy -32.3439 eV/atom. Number 4: formation enthalpy at 0 K 0.007 eV/atom, final energy -50.0873 eV/atom. Number 5: formation enthalpy at 0 K 0.226 eV/atom, final energy -32.8409 eV/atom. Number 6: formation enthalpy at 0 K 0.200 eV/atom, final energy -28.1315 eV/atom.